Computed, not measured: a relaxed Al2Si3Ni crystal at the GGA-PBE level of DFT.

The polymorph energy (0 for the lowest one) is 381 meV/atom. The total magnetization is 0.000 μB/f.u. Its total DFT energy (no corrections) is -4.496 eV per atom.

The space group is Cmmm (No. 65) and the conventional cell measures 4.859, 8.128 and 4.905 Å, with angles of 90.00, 90.00 and 90.00 degrees. The inequivalent atoms are Al at (0.000, 0.169, 0.000), Si at (0.000, 0.000, 0.500), Si at (0.250, 0.250, 0.500) and Ni at (0.000, 0.500, 0.000).